DFT (PBE with a Hubbard U) results for a geometry-optimized SmMn7O12 structure.

a b c (Å): 6.545 6.545 6.545
angles (deg): 109.47 109.47 109.47
Element x y z (fractional)
Sm (0.000, 0.000, 0.000)
Mn (0.000, 0.000, 0.500)
Mn (0.000, 0.500, 0.000)
Mn (0.000, 0.500, 0.500)
Mn (0.500, 0.000, 0.000)
Mn (0.500, 0.000, 0.500)
Mn (0.500, 0.500, 0.000)
Mn (0.500, 0.500, 0.500)
O (0.131, 0.305, 0.826)
O (0.174, 0.479, 0.305)
O (0.174, 0.869, 0.695)
O (0.305, 0.174, 0.479)
O (0.305, 0.826, 0.131)
O (0.479, 0.305, 0.174)
O (0.521, 0.695, 0.826)
O (0.695, 0.174, 0.869)
O (0.695, 0.826, 0.521)
O (0.826, 0.131, 0.305)
O (0.826, 0.521, 0.695)
O (0.869, 0.695, 0.174)

Properties
- DFT total energy: -0.28090 Ha/atom
- DOS at the Fermi energy: 2.5 states/eV/cell